# AcSm2PuSb4 (GGA-PBE, relaxed)
data_AcSm2PuSb4
_chemical_formula_sum 'Ac1 Sm2 Pu1 Sb4'
_cell_length_a 7.874
_cell_length_b 4.553
_cell_length_c 7.890
_cell_angle_alpha 90.00
_cell_angle_beta 109.43
_cell_angle_gamma 90.00
_symmetry_space_group_name_H-M 'P 1 2/m 1'
_symmetry_Int_Tables_number 10
loop_
_symmetry_equiv_pos_as_xyz
'x,y,z'
'-x,-y,-z'
'-x,y,-z'
'x,-y,z'
loop_
_atom_site_label
_atom_site_type_symbol
_atom_site_fract_x
_atom_site_fract_y
_atom_site_fract_z
Ac1 Ac 0.000 0.000 0.000
Sm1 Sm 0.000 0.500 0.500
Sm2 Sm 0.500 0.000 0.500
Pu1 Pu 0.500 0.500 0.000
Sb1 Sb 0.259 0.000 0.746
Sb2 Sb 0.263 0.500 0.261
# Theoretical density ... 7.84 g/cm³
# ΔE_f (raw) ... -1008 meV/atom